Na6SrTl12 (GGA-PBE, optimized geometry); size of the total moment = 0.000 μB per atom; V = 588.1 Å³ per cell; formation energy from the elements = -0.0542 eV per atom; SG = R-3; crystal system = trigonal
1.0
8.3792 -0.3796 -0.0134
-0.0128 8.3878 -0.0134
-0.3965 -0.3796 8.3698
Tl Na Sr
12 6 1
direct
0.9510 0.6216 0.8521
0.5365 0.7891 0.4477
0.8521 0.9510 0.6216
0.7891 0.4477 0.5365
0.4635 0.2109 0.5523
0.5523 0.4635 0.2109
0.0490 0.3784 0.1479
0.3784 0.1479 0.0490
0.4477 0.5365 0.7891
0.1479 0.0490 0.3784
0.2109 0.5523 0.4635
0.6216 0.8521 0.9510
0.1190 0.2926 0.7212
0.7212 0.1190 0.2926
0.8810 0.7074 0.2788
0.2926 0.7212 0.1190
0.2788 0.8810 0.7074
0.7074 0.2788 0.8810
0.0000 0.0000 0.0000